A plane-wave DFT calculation with GGA-PBE was carried out for a relaxed Li5SiPd6 crystal.

Cell lengths 6.668, 6.668, 5.909 Å; angles 90.00, 90.00, 142.90 degrees
Positions (direct):
Li (0.000, 0.000, 0.000)
Li (0.328, 0.672, 0.500)
Li (0.334, 0.666, 0.000)
Li (0.666, 0.334, 0.000)
Li (0.672, 0.328, 0.500)
Si (0.000, 0.000, 0.500)
Pd (0.161, 0.839, 0.252)
Pd (0.161, 0.839, 0.748)
Pd (0.500, 0.500, 0.260)
Pd (0.500, 0.500, 0.740)
Pd (0.839, 0.161, 0.252)
Pd (0.839, 0.161, 0.748)

- ΔE_f (raw) (meV/atom) = -564